Computed, not measured: an optimized crystal structure of RbHoH at the PBE level of DFT.

Cell: 3.643 3.642 14.241 Å, 90.00 90.00 120.01°
Fractional positions:
H (0.612, 0.223, 0.000)
H (0.277, 0.553, 0.500)
Ho (0.279, 0.558, 0.892)
Ho (0.279, 0.558, 0.108)
Rb (0.610, 0.220, 0.368)
Rb (0.610, 0.220, 0.632)

Theoretical density ... 5.1 g/cm3
Total DFT energy (no corrections) ... -2.77 eV per atom
M_tot ... 0.00 μB per formula unit
Space-group type ... Amm2, No. 38